Record 1
This record from the Alexandria database describes a relaxed structure of Al2GaPt. The functional is PBE.

Computed properties:
- size of the total moment (μB/atom) = 0.00
- E_form (eV/atom) = -0.273
- N(E_F) (states/eV per cell) = 8.50
- raw total energy (eV per atom) = -4.411

Geometry as CIF:
```
data_Al2GaPt
_cell_length_a 8.0564
_cell_length_b 8.0564
_cell_length_c 4.8671
_cell_angle_alpha 90.00
_cell_angle_beta 90.00
_cell_angle_gamma 90.00
_space_group_name_H-M_alt 'I -4 2 d'
_space_group_IT_number 122
_space_group_name_Hall 'I -4 2bw'
loop_
_atom_site_label
_atom_site_type_symbol
_atom_site_fract_x
_atom_site_fract_y
_atom_site_fract_z
Al1 Al 0.1720 0.2500 0.1250
Ga1 Ga 0.0000 0.0000 0.5000
Pt1 Pt 0.0000 0.0000 0.0000
```


Record 2
This record from the Alexandria database describes a relaxed structure of LiY2SbC. The functional is PBE.

Computed properties:
- energy relative to the lowest polymorph listed for this composition (eV/atom) = 1.599
- size of the total moment (μB/atom) = 0.00
- formation energy without anion corrections (meV/atom) = 1015
- N(E_F) (states/eV per cell) = 1.53
- raw total energy (eV per atom) = -4.623

Geometry as CIF:
```
data_LiY2SbC
_cell_length_a 5.6435
_cell_length_b 5.6435
_cell_length_c 4.6264
_cell_angle_alpha 90.00
_cell_angle_beta 90.00
_cell_angle_gamma 90.00
_space_group_name_H-M_alt 'P 4/m m m'
_space_group_IT_number 123
_space_group_name_Hall '-P 4 2'
loop_
_atom_site_label
_atom_site_type_symbol
_atom_site_fract_x
_atom_site_fract_y
_atom_site_fract_z
Li1 Li 0.0000 0.0000 0.0000
Y1 Y 0.0000 0.5000 0.5000
Sb1 Sb 0.0000 0.0000 0.5000
C1 C 0.5000 0.5000 0.0000
```


Record 3
This record from the Alexandria database describes a relaxed structure of YZrGa2Pb. The functional is PBE.

Computed properties:
- size of the total moment (μB/atom) = 0.00
- E_form (eV/atom) = 0.841
- N(E_F) (states/eV per cell) = 5.36
- raw total energy (eV per atom) = -4.114

Geometry as CIF:
```
data_YZrGa2Pb
_cell_length_a 5.2064
_cell_length_b 5.2064
_cell_length_c 5.6225
_cell_angle_alpha 90.00
_cell_angle_beta 90.00
_cell_angle_gamma 90.00
_space_group_name_H-M_alt 'P 4/m m m'
_space_group_IT_number 123
_space_group_name_Hall '-P 4 2'
loop_
_atom_site_label
_atom_site_type_symbol
_atom_site_fract_x
_atom_site_fract_y
_atom_site_fract_z
Y1 Y 0.0000 0.0000 0.0000
Zr1 Zr 0.5000 0.5000 0.5000
Ga1 Ga 0.0000 0.5000 0.0000
Pb1 Pb 0.0000 0.0000 0.5000
```


Record 4
This record from the Alexandria database describes a relaxed structure of K2SnHgBr4. The functional is PBE.

Computed properties:
- size of the total moment (μB/atom) = 0.00
- formation energy without anion corrections (meV/atom) = -1121
- N(E_F) (states/eV per cell) = 0.00
- raw total energy (eV per atom) = -2.770

Geometry as CIF:
```
data_K2SnHgBr4
_cell_length_a 14.6981
_cell_length_b 4.5702
_cell_length_c 9.1656
_cell_angle_alpha 90.00
_cell_angle_beta 109.44
_cell_angle_gamma 90.00
_space_group_name_H-M_alt 'C 1 2/m 1'
_space_group_IT_number 12
loop_
_space_group_symop_operation_xyz
'x,y,z'
'-x,-y,-z'
'-x,y,-z'
'x,-y,z'
'x+1/2,y+1/2,z'
'-x+1/2,-y+1/2,-z'
'-x+1/2,y+1/2,-z'
'x+1/2,-y+1/2,z'
loop_
_atom_site_label
_atom_site_type_symbol
_atom_site_fract_x
_atom_site_fract_y
_atom_site_fract_z
K1 K 0.2099 0.0000 0.2164
Sn1 Sn 0.0000 0.0000 0.5000
Hg1 Hg 0.0000 0.5000 0.0000
Br1 Br 0.1187 0.5000 0.4271
Br2 Br 0.1417 0.0000 0.8178
```